No. 1
First-principles (GGA-PBE) data for an optimized crystal structure of ErHfHgRh, as listed in the Alexandria database.

Cell: 4.8947 4.8947 4.8947 Å, 60.00 60.00 60.00°
Element x y z (fractional)
1 Er 0.0000 0.0000 0.0000
2 Hf 0.5000 0.5000 0.5000
3 Hg 0.2500 0.2500 0.2500
4 Rh 0.7500 0.7500 0.7500

Summary:
ρ   13.0 g/cm3
Crystal system   cubic
ΔH_f (0 K)   -429 meV per atom
N(E_F)   3.118 states/eV per cell

No. 2
First-principles (GGA-PBE) data for an optimized crystal structure of NpSn4Pd15, as listed in the Alexandria database.

Cell: 4.0598 4.0598 20.3069 Å, 90.00 90.00 90.00°
Element x y z (fractional)
1 Np 0.0000 0.0000 0.0000
2 Sn 0.0000 0.0000 0.2042
3 Sn 0.0000 0.0000 0.4015
4 Sn 0.0000 0.0000 0.5985
5 Sn 0.0000 0.0000 0.7958
6 Pd 0.0000 0.5000 0.1026
7 Pd 0.0000 0.5000 0.3019
8 Pd 0.0000 0.5000 0.5000
9 Pd 0.0000 0.5000 0.6981
10 Pd 0.0000 0.5000 0.8974
11 Pd 0.5000 0.0000 0.1026
12 Pd 0.5000 0.0000 0.3019
13 Pd 0.5000 0.0000 0.5000
14 Pd 0.5000 0.0000 0.6981
15 Pd 0.5000 0.0000 0.8974
16 Pd 0.5000 0.5000 0.0000
17 Pd 0.5000 0.5000 0.2027
18 Pd 0.5000 0.5000 0.4007
19 Pd 0.5000 0.5000 0.5993
20 Pd 0.5000 0.5000 0.7973

Summary:
ρ   11.5 g/cm3
Crystal system   tetragonal
ΔH_f (0 K)   -490 meV per atom
N(E_F)   14.480 states/eV per cell

No. 3
First-principles (GGA-PBE) data for an optimized crystal structure of CaDyCu2, as listed in the Alexandria database.

Cell: 3.5226 3.5226 7.0544 Å, 90.00 90.00 90.00°
Element x y z (fractional)
1 Ca 0.0000 0.0000 0.0000
2 Dy 0.0000 0.0000 0.5000
3 Cu 0.5000 0.5000 0.2824
4 Cu 0.5000 0.5000 0.7176

Summary:
ρ   6.3 g/cm3
Crystal system   tetragonal
ΔH_f (0 K)   -172 meV per atom
N(E_F)   2.977 states/eV per cell
Distance to the lowest polymorph of the same formula   0.000 eV/atom